Ac4LaNd2 | the Alexandria database | PBE-GGA | relaxed; size of the total moment = 0.0 μB per formula unit; DFT total energy = -4.17 eV/atom; space group = Imma (74); formation energy = 5.65 kcal/mol of atoms; energy above the lowest structure with this stoichiometry = 0.189 eV per atom
1.0
7.324 0.000 0.000
3.662 8.856 -1.350
3.662 1.607 8.813
Ac Nd La
8 4 2
direct
0.152 0.844 0.852
0.756 0.761 0.261
0.778 0.239 0.739
0.848 0.156 0.148
0.222 0.761 0.261
0.244 0.239 0.739
0.848 0.648 0.656
0.152 0.352 0.344
0.274 0.976 0.476
0.500 0.500 0.500
0.726 0.024 0.524
0.500 0.000 0.000
0.000 0.500 0.000
0.500 0.500 0.000